Entry from Alexandria: an optimized crystal structure of Sr6In3Hg (GGA-PBE).

Unit cell a=10.0903 b=5.8108 c=13.2396 alpha=90.00 beta=111.26 gamma=90.00
Atoms (fractional coordinates):
Sr1 0.0198 0.2500 0.4152
Sr2 0.1673 0.7500 0.1643
Sr3 0.2533 0.2500 0.9984
Sr4 0.3411 0.7500 0.8240
Sr5 0.3705 0.2500 0.3570
Sr6 0.3785 0.2500 0.6411
Sr7 0.6215 0.7500 0.3589
Sr8 0.6295 0.7500 0.6430
Sr9 0.6589 0.2500 0.1760
Sr10 0.7467 0.7500 0.0016
Sr11 0.8327 0.2500 0.8357
Sr12 0.9802 0.7500 0.5848
In1 0.0250 0.7500 0.8691
In2 0.0831 0.2500 0.7193
In3 0.2615 0.7500 0.4703
In4 0.7385 0.2500 0.5297
In5 0.9169 0.7500 0.2807
In6 0.9750 0.2500 0.1309
Hg1 0.4549 0.7500 0.0944
Hg2 0.5451 0.2500 0.9056

Values from the calculation:
DOS at the Fermi energy = 10.288 states/eV per cell
Space-group type = No. 11
ΔH_f (0 K) = -35.4 kJ per mole of atoms
ρ = 4.916 g/cm³
E_tot = -2.23 eV per atom